TaTiMoPt2 after structural relaxation. Source: Alexandria via LeMat-Bulk, functional GGA-PBEsol.

```
TaTiMoPt2
1.0
4.502 0.000 0.000
0.000 4.502 0.000
0.000 0.000 4.613
Ta Ti Mo Pt
1 1 1 2
direct
0.000 0.000 0.000 Ta
0.000 0.000 0.500 Ti
0.500 0.500 0.000 Mo
0.000 0.500 0.500 Pt
0.500 0.000 0.500 Pt
```

## Properties
- energy of formation (eV/atom) = 1.208